1) # La2Pr3Sm6 (GGA-PBE, relaxed)
data_La2Pr3Sm6
_space_group_name_H-M_alt 'C 1 2/m 1'
_space_group_IT_number 12
_cell_length_a 6.0189
_cell_length_b 11.6725
_cell_length_c 11.3822
_cell_angle_alpha 90.00
_cell_angle_beta 98.05
_cell_angle_gamma 90.00
loop_
_space_group_symop_operation_xyz
'x,y,z'
'-x,-y,-z'
'-x,y,-z'
'x,-y,z'
'x+1/2,y+1/2,z'
'-x+1/2,-y+1/2,-z'
'-x+1/2,y+1/2,-z'
'x+1/2,-y+1/2,z'
loop_
_atom_site_label
_atom_site_type_symbol
_atom_site_fract_x
_atom_site_fract_y
_atom_site_fract_z
La1 La 0.0000 0.1391 0.0000
Pr1 Pr 0.0000 0.1776 0.5000
Pr2 Pr 0.0000 0.5000 0.5000
Sm1 Sm 0.0668 0.3428 0.2199
Sm2 Sm 0.0857 0.0000 0.2663
# * Fermi-level density of states: 33.57 states/eV per cell
# * density: 6.72 g/cm3

2) # La2Pr3Sm6 (GGA-PBE, relaxed)
data_La2Pr3Sm6
_space_group_name_H-M_alt 'I 4/m m m'
_space_group_IT_number 139
_space_group_name_Hall '-I 4 2'
_cell_length_a 4.8799
_cell_length_b 4.8799
_cell_length_c 34.0536
_cell_angle_alpha 90.00
_cell_angle_beta 90.00
_cell_angle_gamma 90.00
loop_
_atom_site_label
_atom_site_type_symbol
_atom_site_fract_x
_atom_site_fract_y
_atom_site_fract_z
La1 La 0.0000 0.0000 0.0454
Pr1 Pr 0.0000 0.0000 0.2969
Pr2 Pr 0.0000 0.0000 0.5000
Sm1 Sm 0.0000 0.0000 0.1949
Sm2 Sm 0.0000 0.5000 0.1211
# * Fermi-level density of states: 30.73 states/eV per cell
# * density: 6.56 g/cm3

Stability summary: most stable 1), least stable 2).

1) # La4Pr2Sm (GGA-PBE, relaxed)
data_La4Pr2Sm
_space_group_name_H-M_alt 'P 1'
_space_group_IT_number 1
_cell_length_a 6.4327
_cell_length_b 8.2786
_cell_length_c 9.8418
_cell_angle_alpha 89.95
_cell_angle_beta 89.82
_cell_angle_gamma 75.26
loop_
_space_group_symop_operation_xyz
'x,y,z'
loop_
_atom_site_label
_atom_site_type_symbol
_atom_site_fract_x
_atom_site_fract_y
_atom_site_fract_z
La1 La 0.0000 0.0000 0.0000
La2 La 0.0006 0.5013 0.5011
La3 La 0.1433 0.5740 0.1433
La4 La 0.2864 0.6454 0.7872
La5 La 0.4280 0.2143 0.9284
La6 La 0.4297 0.7149 0.4297
La7 La 0.5704 0.2870 0.5718
La8 La 0.7129 0.3591 0.2143
Pr1 Pr 0.2852 0.1434 0.2864
Pr2 Pr 0.7138 0.8596 0.7160
Pr3 Pr 0.8569 0.4296 0.8574
Pr4 Pr 0.8574 0.9302 0.3583
Sm1 Sm 0.1418 0.0722 0.6426
Sm2 Sm 0.5725 0.7875 0.0730
# * Fermi-level density of states: 26.53 states/eV per cell
# * density: 6.47 g/cm3

2) # La4Pr2Sm (GGA-PBE, relaxed)
data_La4Pr2Sm
_space_group_name_H-M_alt 'I m m a'
_space_group_IT_number 74
_space_group_name_Hall '-I 2b 2'
_cell_length_a 7.0091
_cell_length_b 11.8034
_cell_length_c 12.4379
_cell_angle_alpha 90.00
_cell_angle_beta 90.00
_cell_angle_gamma 90.00
loop_
_atom_site_label
_atom_site_type_symbol
_atom_site_fract_x
_atom_site_fract_y
_atom_site_fract_z
La1 La 0.0000 0.0019 0.1455
La2 La 0.2184 0.2500 0.9946
Pr1 Pr 0.0000 0.0000 0.5000
Pr2 Pr 0.0000 0.2500 0.7194
Sm1 Sm 0.2500 0.2500 0.2500
# * Fermi-level density of states: 41.48 states/eV per cell
# * density: 6.38 g/cm3

Stability summary: most stable 1), least stable 2).

1) # La3PrSm4 (GGA-PBE, relaxed)
data_La3PrSm4
_space_group_name_H-M_alt 'P m n 21'
_space_group_IT_number 31
_cell_length_a 11.9171
_cell_length_b 7.4434
_cell_length_c 6.4328
_cell_angle_alpha 90.00
_cell_angle_beta 90.00
_cell_angle_gamma 90.00
loop_
_space_group_symop_operation_xyz
'x,y,z'
'-x+1/2,-y,z+1/2'
'-x,y,z'
'x+1/2,-y,z+1/2'
loop_
_atom_site_label
_atom_site_type_symbol
_atom_site_fract_x
_atom_site_fract_y
_atom_site_fract_z
La1 La 0.0000 0.1263 0.0000
La2 La 0.2485 0.1244 0.3309
Pr1 Pr 0.0000 0.6243 0.9995
Sm1 Sm 0.0000 0.3761 0.4997
Sm2 Sm 0.0000 0.8721 0.5007
Sm3 Sm 0.2487 0.6238 0.3327
# * Fermi-level density of states: 28.74 states/eV per cell
# * density: 6.75 g/cm3

2) # La3PrSm4 (GGA-PBE, relaxed)
data_La3PrSm4
_space_group_name_H-M_alt 'I m m m'
_space_group_IT_number 71
_space_group_name_Hall '-I 2 2'
_cell_length_a 3.5482
_cell_length_b 11.9900
_cell_length_c 13.3718
_cell_angle_alpha 90.00
_cell_angle_beta 90.00
_cell_angle_gamma 90.00
loop_
_atom_site_label
_atom_site_type_symbol
_atom_site_fract_x
_atom_site_fract_y
_atom_site_fract_z
La1 La 0.0000 0.0000 0.0000
La2 La 0.0000 0.5000 0.2407
Pr1 Pr 0.0000 0.0000 0.5000
Sm1 Sm 0.0000 0.2496 0.3662
# * Fermi-level density of states: 26.71 states/eV per cell
# * density: 6.77 g/cm3

Stability summary: most stable 1), least stable 2).

1) # La2Pr3Sm5 (GGA-PBE, relaxed)
data_La2Pr3Sm5
_space_group_name_H-M_alt 'C 1 2/c 1'
_space_group_IT_number 15
_cell_length_a 10.9547
_cell_length_b 17.3178
_cell_length_c 9.2448
_cell_angle_alpha 90.00
_cell_angle_beta 126.27
_cell_angle_gamma 90.00
loop_
_space_group_symop_operation_xyz
'x,y,z'
'-x,-y,-z'
'-x,y,-z+1/2'
'x,-y,z+1/2'
'x+1/2,y+1/2,z'
'-x+1/2,-y+1/2,-z'
'-x+1/2,y+1/2,-z+1/2'
'x+1/2,-y+1/2,z+1/2'
loop_
_atom_site_label
_atom_site_type_symbol
_atom_site_fract_x
_atom_site_fract_y
_atom_site_fract_z
La1 La 0.1467 0.1268 0.0424
Pr1 Pr 0.0000 0.0256 0.2500
Pr2 Pr 0.1431 0.3743 0.5373
Sm1 Sm 0.0000 0.2212 0.2500
Sm2 Sm 0.0000 0.2786 0.7500
Sm3 Sm 0.0000 0.4724 0.7500
Sm4 Sm 0.2483 0.3712 0.2496
# * Fermi-level density of states: 58.78 states/eV per cell
# * density: 6.82 g/cm3

2) # La2Pr3Sm5 (GGA-PBE, relaxed)
data_La2Pr3Sm5
_space_group_name_H-M_alt 'I b a m'
_space_group_IT_number 72
_space_group_name_Hall '-I 2 2c'
_cell_length_a 12.3019
_cell_length_b 17.5248
_cell_length_c 6.6445
_cell_angle_alpha 90.00
_cell_angle_beta 90.00
_cell_angle_gamma 90.00
loop_
_atom_site_label
_atom_site_type_symbol
_atom_site_fract_x
_atom_site_fract_y
_atom_site_fract_z
La1 La 0.0806 0.1670 0.0000
Pr1 Pr 0.0000 0.0000 0.2500
Pr2 Pr 0.0930 0.3322 0.5000
Sm1 Sm 0.0000 0.5000 0.2500
Sm2 Sm 0.2396 0.3325 0.0000
Sm3 Sm 0.2503 0.0000 0.2500
# * Fermi-level density of states: 60.33 states/eV per cell
# * density: 6.73 g/cm3

Stability summary: most stable 1), least stable 2).

1) # LaPrSm4 (GGA-PBE, relaxed)
data_LaPrSm4
_space_group_name_H-M_alt 'C 1 2/m 1'
_space_group_IT_number 12
_cell_length_a 6.3580
_cell_length_b 10.9809
_cell_length_c 6.3512
_cell_angle_alpha 90.00
_cell_angle_beta 109.54
_cell_angle_gamma 90.00
loop_
_space_group_symop_operation_xyz
'x,y,z'
'-x,-y,-z'
'-x,y,-z'
'x,-y,z'
'x+1/2,y+1/2,z'
'-x+1/2,-y+1/2,-z'
'-x+1/2,y+1/2,-z'
'x+1/2,-y+1/2,z'
loop_
_atom_site_label
_atom_site_type_symbol
_atom_site_fract_x
_atom_site_fract_y
_atom_site_fract_z
La1 La 0.0000 0.0000 0.0000
Pr1 Pr 0.0000 0.5000 0.5000
Sm1 Sm 0.0000 0.1676 0.5000
Sm2 Sm 0.0000 0.3325 0.0000
# * Fermi-level density of states: 18.87 states/eV per cell
# * density: 7.00 g/cm3

2) # LaPrSm4 (GGA-PBE, relaxed)
data_LaPrSm4
_space_group_name_H-M_alt 'F -4 3 m'
_space_group_IT_number 216
_space_group_name_Hall 'F -4 2 3'
_cell_length_a 9.5197
_cell_length_b 9.5197
_cell_length_c 9.5197
_cell_angle_alpha 90.00
_cell_angle_beta 90.00
_cell_angle_gamma 90.00
loop_
_atom_site_label
_atom_site_type_symbol
_atom_site_fract_x
_atom_site_fract_y
_atom_site_fract_z
La1 La 0.0000 0.0000 0.0000
Pr1 Pr 0.2500 0.2500 0.7500
Sm1 Sm 0.1248 0.1248 0.3752
# * Fermi-level density of states: 48.58 states/eV per cell
# * density: 6.78 g/cm3

3) # LaPrSm4 (GGA-PBE, relaxed)
data_LaPrSm4
_space_group_name_H-M_alt 'C m c m'
_space_group_IT_number 63
_space_group_name_Hall '-C 2c 2'
_cell_length_a 6.9746
_cell_length_b 12.3868
_cell_length_c 9.7587
_cell_angle_alpha 90.00
_cell_angle_beta 90.00
_cell_angle_gamma 90.00
loop_
_atom_site_label
_atom_site_type_symbol
_atom_site_fract_x
_atom_site_fract_y
_atom_site_fract_z
La1 La 0.0000 0.0000 0.0000
Pr1 Pr 0.0000 0.1805 0.2500
Sm1 Sm 0.0000 0.3436 0.5746
Sm2 Sm 0.2322 0.3977 0.2500
# * Fermi-level density of states: 36.25 states/eV per cell
# * density: 6.94 g/cm3

Stability summary: most stable 1), least stable 2).

1) # La12Pr2Sm5 (GGA-PBE, relaxed)
data_La12Pr2Sm5
_space_group_name_H-M_alt 'C 1 2/m 1'
_space_group_IT_number 12
_cell_length_a 18.4351
_cell_length_b 11.9482
_cell_length_c 6.3654
_cell_angle_alpha 90.00
_cell_angle_beta 102.47
_cell_angle_gamma 90.00
loop_
_space_group_symop_operation_xyz
'x,y,z'
'-x,-y,-z'
'-x,y,-z'
'x,-y,z'
'x+1/2,y+1/2,z'
'-x+1/2,-y+1/2,-z'
'-x+1/2,y+1/2,-z'
'x+1/2,-y+1/2,z'
loop_
_atom_site_label
_atom_site_type_symbol
_atom_site_fract_x
_atom_site_fract_y
_atom_site_fract_z
La1 La 0.0546 0.0000 0.2711
La2 La 0.1057 0.2477 0.6205
La3 La 0.1165 0.5000 0.0013
La4 La 0.1970 0.2399 0.2020
Pr1 Pr 0.0000 0.2667 0.0000
Sm1 Sm 0.0000 0.5000 0.5000
Sm2 Sm 0.1815 0.0000 0.8563
Sm3 Sm 0.2136 0.5000 0.5546
# * Fermi-level density of states: 56.55 states/eV per cell
# * density: 6.55 g/cm3

2) # La12Pr2Sm5 (GGA-PBE, relaxed)
data_La12Pr2Sm5
_space_group_name_H-M_alt 'C 1 2/m 1'
_space_group_IT_number 12
_cell_length_a 13.3867
_cell_length_b 11.8632
_cell_length_c 9.6369
_cell_angle_alpha 90.00
_cell_angle_beta 116.46
_cell_angle_gamma 90.00
loop_
_space_group_symop_operation_xyz
'x,y,z'
'-x,-y,-z'
'-x,y,-z'
'x,-y,z'
'x+1/2,y+1/2,z'
'-x+1/2,-y+1/2,-z'
'-x+1/2,y+1/2,-z'
'x+1/2,-y+1/2,z'
loop_
_atom_site_label
_atom_site_type_symbol
_atom_site_fract_x
_atom_site_fract_y
_atom_site_fract_z
La1 La 0.0736 0.0000 0.2785
La2 La 0.1069 0.2201 0.9209
La3 La 0.1186 0.5000 0.4474
La4 La 0.1932 0.2570 0.3041
Pr1 Pr 0.0000 0.2295 0.5000
Sm1 Sm 0.0000 0.5000 0.0000
Sm2 Sm 0.1890 0.0000 0.7313
Sm3 Sm 0.1924 0.5000 0.8355
# * Fermi-level density of states: 59.26 states/eV per cell
# * density: 6.55 g/cm3

Stability summary: most stable 1), least stable 2).

1) # La4Pr5Sm2 (GGA-PBE, relaxed)
data_La4Pr5Sm2
_space_group_name_H-M_alt 'I m m m'
_space_group_IT_number 71
_space_group_name_Hall '-I 2 2'
_cell_length_a 3.6177
_cell_length_b 11.7930
_cell_length_c 18.8645
_cell_angle_alpha 90.00
_cell_angle_beta 90.00
_cell_angle_gamma 90.00
loop_
_atom_site_label
_atom_site_type_symbol
_atom_site_fract_x
_atom_site_fract_y
_atom_site_fract_z
La1 La 0.0000 0.0000 0.0864
La2 La 0.0000 0.2563 0.5000
Pr1 Pr 0.0000 0.2915 0.3218
Pr2 Pr 0.0000 0.5000 0.0000
Sm1 Sm 0.0000 0.0000 0.2991
# * Fermi-level density of states: 31.10 states/eV per cell
# * density: 6.44 g/cm3

2) # La4Pr5Sm2 (GGA-PBE, relaxed)
data_La4Pr5Sm2
_space_group_name_H-M_alt 'C 1 2/m 1'
_space_group_IT_number 12
_cell_length_a 18.2425
_cell_length_b 3.6315
_cell_length_c 12.0512
_cell_angle_alpha 90.00
_cell_angle_beta 94.40
_cell_angle_gamma 90.00
loop_
_space_group_symop_operation_xyz
'x,y,z'
'-x,-y,-z'
'-x,y,-z'
'x,-y,z'
'x+1/2,y+1/2,z'
'-x+1/2,-y+1/2,-z'
'-x+1/2,y+1/2,-z'
'x+1/2,-y+1/2,z'
loop_
_atom_site_label
_atom_site_type_symbol
_atom_site_fract_x
_atom_site_fract_y
_atom_site_fract_z
La1 La 0.0384 0.0000 0.2635
La2 La 0.1414 0.5000 0.7973
Pr1 Pr 0.0000 0.5000 0.0000
Pr2 Pr 0.0960 0.0000 0.5404
Pr3 Pr 0.1784 0.0000 0.0736
Sm1 Sm 0.2164 0.5000 0.3611
# * Fermi-level density of states: 36.11 states/eV per cell
# * density: 6.51 g/cm3

Stability summary: most stable 2), least stable 1).

1) # La8Pr2Sm3 (GGA-PBE, relaxed)
data_La8Pr2Sm3
_space_group_name_H-M_alt 'C 1 2/m 1'
_space_group_IT_number 12
_cell_length_a 15.0654
_cell_length_b 11.1912
_cell_length_c 5.8901
_cell_angle_alpha 90.00
_cell_angle_beta 108.97
_cell_angle_gamma 90.00
loop_
_space_group_symop_operation_xyz
'x,y,z'
'-x,-y,-z'
'-x,y,-z'
'x,-y,z'
'x+1/2,y+1/2,z'
'-x+1/2,-y+1/2,-z'
'-x+1/2,y+1/2,-z'
'x+1/2,-y+1/2,z'
loop_
_atom_site_label
_atom_site_type_symbol
_atom_site_fract_x
_atom_site_fract_y
_atom_site_fract_z
La1 La 0.0742 0.0000 0.2365
La2 La 0.1632 0.5000 0.6284
La3 La 0.1664 0.2688 0.1675
Pr1 Pr 0.1731 0.0000 0.8021
Sm1 Sm 0.0000 0.2564 0.5000
Sm2 Sm 0.0000 0.5000 0.0000
# * Fermi-level density of states: 44.65 states/eV per cell
# * density: 6.52 g/cm3

2) # La8Pr2Sm3 (GGA-PBE, relaxed)
data_La8Pr2Sm3
_space_group_name_H-M_alt 'C 1 2/m 1'
_space_group_IT_number 12
_cell_length_a 20.9675
_cell_length_b 7.7579
_cell_length_c 5.9143
_cell_angle_alpha 90.00
_cell_angle_beta 90.03
_cell_angle_gamma 90.00
loop_
_space_group_symop_operation_xyz
'x,y,z'
'-x,-y,-z'
'-x,y,-z'
'x,-y,z'
'x+1/2,y+1/2,z'
'-x+1/2,-y+1/2,-z'
'-x+1/2,y+1/2,-z'
'x+1/2,-y+1/2,z'
loop_
_atom_site_label
_atom_site_type_symbol
_atom_site_fract_x
_atom_site_fract_y
_atom_site_fract_z
La1 La 0.1033 0.2025 0.0002
La2 La 0.1333 0.5000 0.4994
La3 La 0.1729 0.0000 0.5010
Pr1 Pr 0.2420 0.5000 0.9986
Sm1 Sm 0.0000 0.2192 0.5000
Sm2 Sm 0.0000 0.5000 0.0000
# * Fermi-level density of states: 38.79 states/eV per cell
# * density: 6.37 g/cm3

Stability summary: most stable 1), least stable 2).